Computed, not measured: a relaxed Hg5Sb12Au3 crystal at the PBE-GGA level of DFT.

Cell: 14.7847 14.7847 14.7847 Å, 109.47 109.47 109.47°
Fractional coordinates of all 80 atoms:
Hg  0.0000  0.0000  0.0000
Hg  0.0000  0.0000  0.5000
Hg  0.0000  0.5000  0.0000
Hg  0.0000  0.5000  0.5000
Hg  0.1250  0.7500  0.8750
Hg  0.1250  0.8750  0.2500
Hg  0.2500  0.1250  0.8750
Hg  0.2500  0.6250  0.3750
Hg  0.3750  0.2500  0.6250
Hg  0.3750  0.6250  0.7500
Hg  0.5000  0.0000  0.0000
Hg  0.5000  0.0000  0.5000
Hg  0.5000  0.5000  0.0000
Hg  0.5000  0.5000  0.5000
Hg  0.6250  0.3750  0.2500
Hg  0.6250  0.7500  0.3750
Hg  0.7500  0.3750  0.6250
Hg  0.7500  0.8750  0.1250
Hg  0.8750  0.1250  0.7500
Hg  0.8750  0.2500  0.1250
Sb  0.0564  0.6254  0.3821
Sb  0.0564  0.9310  0.6743
Sb  0.0690  0.2432  0.1254
Sb  0.0690  0.3257  0.9436
Sb  0.1179  0.7432  0.6743
Sb  0.1179  0.8746  0.4436
Sb  0.1254  0.0690  0.2432
Sb  0.1254  0.5564  0.8821
Sb  0.1743  0.2432  0.6179
Sb  0.1743  0.4310  0.5564
Sb  0.2432  0.1254  0.0690
Sb  0.2432  0.6179  0.1743
Sb  0.2568  0.3257  0.8821
Sb  0.2568  0.4310  0.3746
Sb  0.3257  0.8821  0.2568
Sb  0.3257  0.9436  0.0690
Sb  0.3746  0.2568  0.4310
Sb  0.3746  0.6179  0.9436
Sb  0.3821  0.0564  0.6254
Sb  0.3821  0.8257  0.7568
Sb  0.4310  0.3746  0.2568
Sb  0.4310  0.5564  0.1743
Sb  0.4436  0.1179  0.8746
Sb  0.4436  0.8257  0.5690
Sb  0.5564  0.1743  0.4310
Sb  0.5564  0.8821  0.1254
Sb  0.5690  0.4436  0.8257
Sb  0.5690  0.6254  0.7432
Sb  0.6179  0.1743  0.2432
Sb  0.6179  0.9436  0.3746
Sb  0.6254  0.3821  0.0564
Sb  0.6254  0.7432  0.5690
Sb  0.6743  0.0564  0.9310
Sb  0.6743  0.1179  0.7432
Sb  0.7432  0.5690  0.6254
Sb  0.7432  0.6743  0.1179
Sb  0.7568  0.3821  0.8257
Sb  0.7568  0.8746  0.9310
Sb  0.8257  0.5690  0.4436
Sb  0.8257  0.7568  0.3821
Sb  0.8746  0.4436  0.1179
Sb  0.8746  0.9310  0.7568
Sb  0.8821  0.1254  0.5564
Sb  0.8821  0.2568  0.3257
Sb  0.9310  0.6743  0.0564
Sb  0.9310  0.7568  0.8746
Sb  0.9436  0.0690  0.3257
Sb  0.9436  0.3746  0.6179
Au  0.1250  0.2500  0.3750
Au  0.1250  0.3750  0.7500
Au  0.2500  0.3750  0.1250
Au  0.2500  0.8750  0.6250
Au  0.3750  0.1250  0.2500
Au  0.3750  0.7500  0.1250
Au  0.6250  0.2500  0.8750
Au  0.6250  0.8750  0.7500
Au  0.7500  0.1250  0.3750
Au  0.7500  0.6250  0.8750
Au  0.8750  0.6250  0.2500
Au  0.8750  0.7500  0.6250

Computed properties:
- Final energy: -2.84 eV/atom
- Total magnetic moment: 0.00 Bohr magnetons per cell
- Uncorrected formation energy: 0.20 eV/atom